(1)
Material: PrSbMoI2
Method: DFT, PBE-GGA
State: relaxed

The structure in POSCAR format:
```
PrSbMoI2
1.0
4.3061 0.0000 0.0000
-2.1531 3.7292 0.0000
0.0000 0.0000 10.4984
Pr Sb Mo I
1 1 1 2
Direct
0.0000 0.0000 0.0000 Pr
0.3333 0.6667 0.8232 Sb
0.6667 0.3333 0.7143 Mo
0.0000 0.0000 0.5548 I
0.6667 0.3333 0.2000 I
```

Uncorrected energy   -5.063 eV per atom



(2)
Material: PuAg
Method: DFT, PBE-GGA
State: relaxed

The structure in POSCAR format:
```
PuAg
1.0
3.0980 0.0000 0.0000
-1.5490 2.6829 0.0000
0.0000 0.0000 5.3115
Pu Ag
1 1
Direct
0.0000 0.0000 0.0000 Pu
0.3333 0.6667 0.5000 Ag
```

Formation energy   0.089 eV/atom



(3)
Material: Tm2CuSe4
Method: DFT, PBE-GGA
State: relaxed

The structure in POSCAR format:
```
Tm2CuSe4
1.0
0.0000 5.6502 5.6502
5.6502 0.0000 5.6502
5.6502 5.6502 0.0000
Tm Cu Se
4 2 8
Direct
0.0000 0.0000 0.0000 Tm
0.0000 0.0000 0.5000 Tm
0.0000 0.5000 0.0000 Tm
0.5000 0.0000 0.0000 Tm
0.3750 0.3750 0.3750 Cu
0.6250 0.6250 0.6250 Cu
0.2483 0.7506 0.7506 Se
0.2494 0.2494 0.2494 Se
0.2494 0.2494 0.7517 Se
0.2494 0.7517 0.2494 Se
0.7506 0.2483 0.7506 Se
0.7506 0.7506 0.2483 Se
0.7506 0.7506 0.7506 Se
0.7517 0.2494 0.2494 Se
```

Uncorrected energy   -5.099 eV per atom



Computed values of calculated volume (unit: Å³ per cell) for the preceding records, in sequence: 168.6; 44.1; 360.8.